[1]
# NpAgAu

A relaxed NpAgAu crystal (GGA-PBE, Alexandria via LeMat-Bulk).

POSCAR file:
```
NpAgAu
1.0
-0.363 2.855 -0.515
-0.884 -0.978 -4.804
-3.770 0.107 3.254
Ag Np Au
1 1 1
direct
0.166 0.000 0.000 Ag
0.667 0.333 0.667 Np
0.167 0.667 0.333 Au
```

ΔE to the lowest computed polymorph	0.0	kJ/mol of atoms
E_form	-0.0321	eV per atom
space-group type	P-6m2, No. 187

***

[2]
# PrThTeS

A relaxed PrThTeS crystal (GGA-PBE, Alexandria via LeMat-Bulk).

POSCAR file:
```
PrThTeS
1.0
-0.499 2.061 3.511
-3.048 -0.153 -2.733
-1.338 -7.698 1.924
Th Pr S Te
1 1 1 1
direct
0.495 0.145 0.654 Th
0.111 0.954 0.081 Pr
0.302 0.549 0.866 S
0.969 0.383 0.368 Te
```

total energy	-6.416	eV/atom
space-group type	Cm, No. 8

***

[3]
# VRuW

A relaxed VRuW crystal (GGA-PBE, Alexandria via LeMat-Bulk).

POSCAR file:
```
VRuW
1.0
5.306 0.000 0.003
0.000 4.321 0.000
-5.171 0.000 7.586
V W Ru
4 4 4
direct
0.930 0.500 0.794 V
0.930 0.000 0.294 V
0.095 0.000 0.615 V
0.095 0.500 0.115 V
0.755 0.500 0.465 W
0.421 0.500 0.786 W
0.421 0.000 0.286 W
0.755 0.000 0.965 W
0.228 0.000 0.938 Ru
0.614 0.000 0.635 Ru
0.228 0.500 0.438 Ru
0.614 0.500 0.135 Ru
```

ΔE to the lowest computed polymorph	0.6	kJ/mol of atoms
E_form	-0.0900	eV per atom
space-group type	Cm, No. 8